{
  "formula": "NaNdAl",
  "functional": "PBE",
  "state": "relaxed",
  "cell": [[0.0000, 5.5037, 5.6112], [2.8578, 0.0000, 5.6112], [2.8578, 5.5037, 0.0000]],
  "species": ["Na", "Na", "Nd", "Nd", "Al", "Al"],
  "fractional_positions": [[0.1571, 0.8429, 0.1571], [0.8429, 0.1571, 0.8429], [0.3304, 0.3304, 0.6696], [0.6696, 0.6696, 0.3304], [0.2500, 0.2500, 0.2500], [0.7500, 0.7500, 0.7500]],
  "volume_a3_per_atom": 29.42,
  "e_form_ev_per_atom": 0.095,
  "total_energy_ev_per_atom": -3.182
}